Entry 1:
! MoIr2W (SCAN, PBEsol geometry); values from VASP
! Magnetic moment, μB/cell: 0.0
! Offset from the most stable computed form, eV/atom: 0.008
! DFT formation energy, eV per atom: -0.3823
! D(E_F), states/eV/cell: 1.99
! Space group: Cmmm (65)
&SYSTEM
  ibrav = 0, nat = 4, ntyp = 3
/
ATOMIC_SPECIES
Ir 192.22 Ir.upf
Mo 95.94 Mo.upf
W 183.84 W.upf
ATOMIC_POSITIONS crystal
Ir 0.0000 0.5000 0.0000
Ir 0.0000 0.0000 0.5000
Mo 0.5000 0.5000 0.5000
W 0.5000 0.0000 0.0000
CELL_PARAMETERS angstrom
-2.3983 1.2690 -0.4096
-1.6067 -3.7994 -2.3636
-1.0246 -0.4448 4.6212



Entry 2:
! MoIr2W (SCAN, PBEsol geometry); values from VASP
! Magnetic moment, μB/cell: 0.0
! Offset from the most stable computed form, eV/atom: 0.010
! DFT formation energy, eV per atom: -0.3809
! D(E_F), states/eV/cell: 2.19
! Space group: Pmmm (47)
&SYSTEM
  ibrav = 0, nat = 4, ntyp = 3
/
ATOMIC_SPECIES
Mo 95.94 Mo.upf
W 183.84 W.upf
Ir 192.22 Ir.upf
ATOMIC_POSITIONS crystal
Mo 0.5000 0.5000 0.0000
W 0.5000 0.5000 0.5000
Ir 0.0000 0.0000 0.2491
Ir 0.0000 0.0000 0.7509
CELL_PARAMETERS angstrom
-0.8466 2.2785 -1.2686
-3.4821 -1.6180 -0.5824
-1.7416 2.0223 4.7947



Entry 3:
! MoIr2W (SCAN, PBEsol geometry); values from VASP
! Magnetic moment, μB/cell: 0.0
! Offset from the most stable computed form, eV/atom: 0.007
! DFT formation energy, eV per atom: -0.3839
! D(E_F), states/eV/cell: 1.74
! Space group: P4/mmm (123)
&SYSTEM
  ibrav = 0, nat = 4, ntyp = 3
/
ATOMIC_SPECIES
Ir 192.22 Ir.upf
W 183.84 W.upf
Mo 95.94 Mo.upf
ATOMIC_POSITIONS crystal
Ir 0.0000 0.5000 0.0000
Ir 0.5000 0.0000 0.0000
W 0.0000 0.0000 0.5000
Mo 0.5000 0.5000 0.5000
CELL_PARAMETERS angstrom
-3.4871 -1.7027 -0.0472
0.9139 -1.9611 3.2219
-1.4374 2.8839 2.1631



Entry 4:
! MoIr2W (SCAN, PBEsol geometry); values from VASP
! Magnetic moment, μB/cell: 0.0
! Offset from the most stable computed form, eV/atom: 0.264
! DFT formation energy, eV per atom: -0.1269
! D(E_F), states/eV/cell: 2.51
! Space group: C2/m (12)
&SYSTEM
  ibrav = 0, nat = 4, ntyp = 3
/
ATOMIC_SPECIES
Ir 192.22 Ir.upf
W 183.84 W.upf
Mo 95.94 Mo.upf
ATOMIC_POSITIONS crystal
Ir 0.2505 0.2497 0.5010
Ir 0.7495 0.7503 0.4990
W 0.0000 0.5000 0.0000
Mo 0.5000 0.0000 0.0000
CELL_PARAMETERS angstrom
2.7417 0.0000 0.0000
0.0000 4.7464 -0.0042
-1.3709 -0.7957 4.5149



Entry 5:
! MoIr2W (SCAN, PBEsol geometry); values from VASP
! Magnetic moment, μB/cell: 0.0
! Offset from the most stable computed form, eV/atom: 0.000
! DFT formation energy, eV per atom: -0.3906
! D(E_F), states/eV/cell: 2.38
! Space group: Pmm2 (25)
&SYSTEM
  ibrav = 0, nat = 4, ntyp = 3
/
ATOMIC_SPECIES
Mo 95.94 Mo.upf
Ir 192.22 Ir.upf
W 183.84 W.upf
ATOMIC_POSITIONS crystal
Mo 0.5000 0.0000 0.5474
Ir 0.0000 0.5000 0.6987
Ir 0.0000 0.0000 0.0497
W 0.5000 0.5000 0.2042
CELL_PARAMETERS angstrom
2.7534 0.0000 0.0000
0.0000 4.4227 0.0000
0.0000 0.0000 4.8020



Entry 6:
! Mo2IrW (SCAN, PBEsol geometry); values from VASP
! Magnetic moment, μB/cell: 0.0
! Offset from the most stable computed form, eV/atom: 0.000
! DFT formation energy, eV per atom: 0.0387
! D(E_F), states/eV/cell: 3.65
! Space group: C2/m (12)
&SYSTEM
  ibrav = 0, nat = 4, ntyp = 3
/
ATOMIC_SPECIES
Ir 192.22 Ir.upf
W 183.84 W.upf
Mo 95.94 Mo.upf
ATOMIC_POSITIONS crystal
Ir 0.0000 0.5000 0.0000
W 0.5000 0.0000 0.0000
Mo 0.5000 0.5000 0.5000
Mo 0.0000 0.0000 0.5000
CELL_PARAMETERS angstrom
-0.7335 1.5388 2.0874
-3.9288 0.8626 -3.2431
0.1401 -4.6142 2.3243



Entry 7:
! MoIrW2 (SCAN, PBEsol geometry); values from VASP
! Magnetic moment, μB/cell: 0.0
! Offset from the most stable computed form, eV/atom: 0.082
! DFT formation energy, eV per atom: 0.1235
! D(E_F), states/eV/cell: 4.10
! Space group: P4mm (99)
&SYSTEM
  ibrav = 0, nat = 4, ntyp = 3
/
ATOMIC_SPECIES
W 183.84 W.upf
Ir 192.22 Ir.upf
Mo 95.94 Mo.upf
ATOMIC_POSITIONS crystal
W 0.0000 0.0000 0.9969
W 0.5000 0.5000 0.2504
Ir 0.0000 0.0000 0.4931
Mo 0.5000 0.5000 0.7597
CELL_PARAMETERS angstrom
3.1877 0.0000 0.0000
0.0000 3.1877 0.0000
0.0000 0.0000 6.0329



Entry 8:
! MoIrW2 (SCAN, PBEsol geometry); values from VASP
! Magnetic moment, μB/cell: 0.0
! Offset from the most stable computed form, eV/atom: 0.007
! DFT formation energy, eV per atom: 0.0485
! D(E_F), states/eV/cell: 3.48
! Space group: I4/mmm (139)
&SYSTEM
  ibrav = 0, nat = 4, ntyp = 3
/
ATOMIC_SPECIES
Mo 95.94 Mo.upf
W 183.84 W.upf
Ir 192.22 Ir.upf
ATOMIC_POSITIONS crystal
Mo 0.0000 0.0000 0.0000
W 0.2500 0.7500 0.5000
W 0.7500 0.2500 0.5000
Ir 0.5000 0.5000 0.0000
CELL_PARAMETERS angstrom
-2.5852 -2.8920 0.4552
0.3061 -0.8709 -3.7950
4.1141 -0.6483 2.4904



Entry 9:
! MoIrW2 (SCAN, PBEsol geometry); values from VASP
! Magnetic moment, μB/cell: 0.0
! Offset from the most stable computed form, eV/atom: 0.004
! DFT formation energy, eV per atom: 0.0460
! D(E_F), states/eV/cell: 2.76
! Space group: C2/m (12)
&SYSTEM
  ibrav = 0, nat = 4, ntyp = 3
/
ATOMIC_SPECIES
W 183.84 W.upf
Mo 95.94 Mo.upf
Ir 192.22 Ir.upf
ATOMIC_POSITIONS crystal
W 0.7395 0.4790 0.7434
W 0.2605 0.5210 0.2566
Mo 0.5000 0.0000 0.0000
Ir 0.0000 0.0000 0.5000
CELL_PARAMETERS angstrom
-1.3304 -1.7095 -1.6374
4.4350 0.4927 -1.8663
0.9281 -3.6834 3.0915



Entry 10:
! MoIrW2 (SCAN, PBEsol geometry); values from VASP
! Magnetic moment, μB/cell: 0.0
! Offset from the most stable computed form, eV/atom: 0.028
! DFT formation energy, eV per atom: 0.0703
! D(E_F), states/eV/cell: 3.19
! Space group: Cmmm (65)
&SYSTEM
  ibrav = 0, nat = 4, ntyp = 3
/
ATOMIC_SPECIES
W 183.84 W.upf
Mo 95.94 Mo.upf
Ir 192.22 Ir.upf
ATOMIC_POSITIONS crystal
W 0.0000 0.5000 0.0000
W 0.0000 0.0000 0.5000
Mo 0.5000 0.5000 0.5000
Ir 0.5000 0.0000 0.0000
CELL_PARAMETERS angstrom
2.7577 0.0000 0.0000
0.0000 4.8236 0.0104
0.0000 -1.5725 4.5601



Entry 11:
! MoIr3W (SCAN, PBEsol geometry); values from VASP
! Magnetic moment, μB/cell: 3.3
! DFT formation energy, eV per atom: 2.2229
! D(E_F), states/eV/cell: 5.05
! Space group: Pm-3m (221)
&SYSTEM
  ibrav = 0, nat = 5, ntyp = 3
/
ATOMIC_SPECIES
Ir 192.22 Ir.upf
W 183.84 W.upf
Mo 95.94 Mo.upf
ATOMIC_POSITIONS crystal
Ir 0.0000 0.5000 0.0000
Ir 0.0000 0.0000 0.5000
Ir 0.5000 0.0000 0.0000
W 0.5000 0.5000 0.5000
Mo 0.0000 0.0000 0.0000
CELL_PARAMETERS angstrom
4.5841 0.0000 0.0000
0.0000 4.5841 0.0000
0.0000 0.0000 4.5841



Entry 12:
! YMoIr2 (SCAN, PBEsol geometry); values from VASP
! Magnetic moment, μB/cell: 0.0
! Offset from the most stable computed form, eV/atom: 0.301
! DFT formation energy, eV per atom: 0.0680
! D(E_F), states/eV/cell: 3.45
! Space group: P2/m (10)
&SYSTEM
  ibrav = 0, nat = 4, ntyp = 3
/
ATOMIC_SPECIES
Ir 192.22 Ir.upf
Mo 95.94 Mo.upf
Y 88.91 Y.upf
ATOMIC_POSITIONS crystal
Ir 0.0000 0.0000 0.0000
Ir 0.5000 0.0000 0.5000
Mo 0.5000 0.5000 0.0000
Y 0.0000 0.5000 0.5000
CELL_PARAMETERS angstrom
2.8257 0.0000 0.0000
0.0000 4.9217 0.0104
0.0000 -1.6794 4.6912



Entry 13:
! YMoIr (SCAN, PBEsol geometry); values from VASP
! Magnetic moment, μB/cell: 0.0
! Offset from the most stable computed form, eV/atom: 0.330
! DFT formation energy, eV per atom: 0.0229
! D(E_F), states/eV/cell: 2.49
! Space group: F-43m (216)
&SYSTEM
  ibrav = 0, nat = 3, ntyp = 3
/
ATOMIC_SPECIES
Mo 95.94 Mo.upf
Y 88.91 Y.upf
Ir 192.22 Ir.upf
ATOMIC_POSITIONS crystal
Mo 0.0000 0.0000 0.0000
Y 0.5000 0.5000 0.5000
Ir 0.2500 0.2500 0.2500
CELL_PARAMETERS angstrom
4.4588 0.0000 0.0000
2.2294 3.8614 0.0000
2.2294 1.2871 3.6406



Entry 14:
! YMo2Ir (SCAN, PBEsol geometry); values from VASP
! Magnetic moment, μB/cell: 0.0
! Offset from the most stable computed form, eV/atom: 0.064
! DFT formation energy, eV per atom: 0.0999
! D(E_F), states/eV/cell: 3.04
! Space group: Imm2 (44)
&SYSTEM
  ibrav = 0, nat = 4, ntyp = 3
/
ATOMIC_SPECIES
Y 88.91 Y.upf
Mo 95.94 Mo.upf
Ir 192.22 Ir.upf
ATOMIC_POSITIONS crystal
Y 0.4978 0.4978 0.9956
Mo 0.0104 0.0104 0.0207
Mo 0.7251 0.2251 0.4501
Ir 0.2668 0.7668 0.5336
CELL_PARAMETERS angstrom
3.1860 0.0000 0.0000
0.0000 4.7976 0.0000
-1.5930 -2.3988 4.4928



Entry 15:
! YMoIr2 (SCAN, PBEsol geometry); values from VASP
! Magnetic moment, μB/cell: 0.0
! Offset from the most stable computed form, eV/atom: 0.000
! DFT formation energy, eV per atom: -0.2331
! D(E_F), states/eV/cell: 3.45
! Space group: Cm (8)
&SYSTEM
  ibrav = 0, nat = 4, ntyp = 3
/
ATOMIC_SPECIES
Ir 192.22 Ir.upf
Mo 95.94 Mo.upf
Y 88.91 Y.upf
ATOMIC_POSITIONS crystal
Ir 0.9782 0.0296 0.9563
Ir 0.2600 0.7056 0.5200
Mo 0.5267 0.5610 0.0534
Y 0.7352 0.2039 0.4703
CELL_PARAMETERS angstrom
-2.1671 1.6244 -0.9069
-1.6346 0.3363 4.5082
4.1701 3.1067 0.0976